No. 1
A plane-wave DFT calculation with PBE-GGA was carried out for a relaxed DyTaN2O crystal.

Geometry as POSCAR:
```
DyTaN2O
1.0
7.885 0.000 0.000
0.000 7.899 0.000
-7.624 0.000 7.917
Dy Ta N O
8 8 16 8
Direct
0.055 0.243 0.028
0.055 0.257 0.528
0.443 0.744 0.472
0.443 0.756 0.972
0.557 0.244 0.028
0.557 0.256 0.528
0.945 0.743 0.472
0.945 0.757 0.972
0.017 0.005 0.262
0.017 0.495 0.762
0.488 0.504 0.233
0.488 0.996 0.733
0.512 0.004 0.267
0.512 0.496 0.767
0.983 0.505 0.238
0.983 0.995 0.738
0.033 0.750 0.218
0.033 0.750 0.718
0.185 0.551 0.000
0.185 0.949 0.500
0.306 0.049 0.307
0.306 0.451 0.807
0.465 0.250 0.185
0.465 0.250 0.685
0.535 0.750 0.315
0.535 0.750 0.815
0.694 0.549 0.193
0.694 0.951 0.693
0.815 0.051 0.500
0.815 0.449 0.000
0.967 0.250 0.282
0.967 0.250 0.782
0.194 0.551 0.500
0.194 0.949 0.000
0.316 0.049 0.817
0.316 0.451 0.317
0.684 0.549 0.683
0.684 0.951 0.183
0.806 0.051 0.000
0.806 0.449 0.500
```

- SG: P2_1/c (14)
- Total energy: -383.14 eV per cell
- Size of the total moment: 0.000 μB/f.u.

No. 2
A plane-wave DFT calculation with PBE-GGA was carried out for a relaxed Th6CBr14 crystal.

Geometry as POSCAR:
```
Th6CBr14
1.0
8.116 -7.292 0.000
8.116 7.292 0.000
0.000 0.000 13.290
Th C Br
12 2 28
Direct
0.045 0.185 0.883
0.147 0.853 0.894
0.185 0.045 0.117
0.315 0.455 0.617
0.353 0.647 0.394
0.455 0.315 0.383
0.545 0.685 0.617
0.647 0.353 0.606
0.685 0.545 0.383
0.815 0.955 0.883
0.853 0.147 0.106
0.955 0.815 0.117
0.000 0.000 0.000
0.500 0.500 0.500
0.036 0.214 0.250
0.103 0.397 0.750
0.120 0.631 0.010
0.131 0.620 0.510
0.159 0.841 0.265
0.214 0.036 0.750
0.248 0.248 0.500
0.252 0.252 0.000
0.286 0.464 0.250
0.341 0.659 0.765
0.369 0.880 0.010
0.380 0.869 0.510
0.397 0.103 0.250
0.464 0.286 0.750
0.536 0.714 0.250
0.603 0.897 0.750
0.620 0.131 0.490
0.631 0.120 0.990
0.659 0.341 0.235
0.714 0.536 0.750
0.748 0.748 0.000
0.752 0.752 0.500
0.786 0.964 0.250
0.841 0.159 0.735
0.869 0.380 0.490
0.880 0.369 0.990
0.897 0.603 0.250
0.964 0.786 0.750
```

- SG: Cmce (64)
- Total energy: -218.81 eV per cell
- Size of the total moment: 0.001 μB/f.u.

No. 3
A plane-wave DFT calculation with PBE-GGA was carried out for a relaxed BaTe2Pd2F2 crystal.

Geometry as POSCAR:
```
BaTe2Pd2F2
1.0
3.766 0.000 0.000
0.000 3.766 0.000
0.000 0.000 10.344
Ba Te Pd F
1 2 2 2
Direct
0.000 0.000 0.000
0.000 0.500 0.267
0.500 0.000 0.733
0.000 0.500 0.653
0.500 0.000 0.347
0.000 0.000 0.500
0.500 0.500 0.500
```

- SG: P-4m2 (115)
- Total energy: -27.26 eV per cell

No. 4
A plane-wave DFT calculation with PBE-GGA was carried out for a relaxed HfMg2Pd crystal.

Geometry as POSCAR:
```
HfMg2Pd
1.0
0.000 3.318 3.318
3.318 0.000 3.318
3.318 3.318 0.000
Hf Mg Pd
1 2 1
Direct
0.000 0.000 0.000
0.250 0.250 0.250
0.500 0.500 0.500
0.750 0.750 0.750
```

- SG: F-43m (216)
- Total energy: -19.37 eV per cell
- Size of the total moment: 0.002 μB/f.u.

No. 5
A plane-wave DFT calculation with PBE-GGA was carried out for a relaxed TmGaNiPd crystal.

Geometry as POSCAR:
```
TmGaNiPd
1.0
4.262 0.000 0.000
-2.131 3.691 0.000
0.000 0.000 8.773
Tm Ga Ni Pd
2 2 2 2
Direct
0.333 0.667 0.000
0.667 0.333 0.500
0.000 0.000 0.266
0.000 0.000 0.766
0.333 0.667 0.327
0.667 0.333 0.827
0.333 0.667 0.668
0.667 0.333 0.168
```

- ΔE to the lowest computed polymorph: 0.55 kJ per mole of atoms
- SG: P6_3mc (186)
- Size of the total moment: 0.001 μB/f.u.

No. 6
A plane-wave DFT calculation with PBE-GGA was carried out for a relaxed AcPrRe crystal.

Geometry as POSCAR:
```
AcPrRe
1.0
0.000 3.586 3.586
3.586 0.000 3.586
3.586 3.586 0.000
Ac Pr Re
1 1 1
Direct
0.000 0.000 0.000
0.500 0.500 0.500
0.750 0.750 0.750
```

- ΔE to the lowest computed polymorph: 0.00 kJ per mole of atoms
- SG: F-43m (216)
- Energy relative to the elements: 419.7 meV/atom
- Size of the total moment: 0.001 μB/f.u.

No. 7
A plane-wave DFT calculation with PBE-GGA was carried out for a relaxed TbSiSnPt2 crystal.

Geometry as POSCAR:
```
TbSiSnPt2
1.0
4.242 0.000 0.000
0.000 4.242 0.000
0.000 0.000 10.887
Tb Si Sn Pt
2 2 2 4
Direct
0.250 0.250 0.227
0.750 0.750 0.773
0.250 0.250 0.881
0.750 0.750 0.119
0.250 0.750 0.500
0.750 0.250 0.500
0.250 0.250 0.667
0.250 0.750 0.000
0.750 0.250 0.000
0.750 0.750 0.333
```

- SG: P4/nmm (129)
- Total energy: -62.03 eV per cell
- Size of the total moment: 0.003 μB/f.u.

No. 8
A plane-wave DFT calculation with PBE-GGA was carried out for a relaxed U2Al20Fe crystal.

Geometry as POSCAR:
```
U2Al20Fe
1.0
-6.328 6.328 5.046
6.328 -6.328 5.046
6.328 6.328 -5.046
U Al Fe
4 40 2
Direct
0.087 0.087 0.676
0.412 0.412 0.324
0.588 0.913 0.000
0.913 0.588 0.000
0.000 0.152 0.152
0.000 0.848 0.848
0.016 0.338 0.852
0.037 0.768 0.588
0.052 0.321 0.588
0.152 0.000 0.152
0.163 0.486 0.148
0.180 0.449 0.412
0.225 0.225 0.475
0.232 0.820 0.269
0.249 0.249 0.000
0.250 0.750 0.500
0.250 0.775 0.000
0.267 0.679 0.731
0.321 0.052 0.588
0.338 0.016 0.852
0.348 0.500 0.848
0.449 0.180 0.412
0.464 0.733 0.412
0.486 0.163 0.148
0.500 0.348 0.848
0.500 0.652 0.152
0.514 0.662 0.677
0.536 0.948 0.269
0.551 0.963 0.731
0.652 0.500 0.152
0.662 0.514 0.677
0.679 0.267 0.731
0.733 0.464 0.412
0.750 0.250 0.500
0.750 0.750 0.525
0.751 0.751 0.000
0.768 0.037 0.588
0.775 0.250 0.000
0.820 0.232 0.269
0.837 0.984 0.323
0.848 0.000 0.848
0.948 0.536 0.269
0.963 0.551 0.731
0.984 0.837 0.323
0.000 0.500 0.500
0.500 0.000 0.500
```

- SG: I-42m (121)
- Total energy: -216.24 eV per cell
- Size of the total moment: 3.636 μB/f.u.

No. 9
A plane-wave DFT calculation with PBE-GGA was carried out for a relaxed NdSiHg crystal.

Geometry as POSCAR:
```
NdSiHg
1.0
0.000 3.379 3.379
3.379 0.000 3.379
3.379 3.379 0.000
Nd Si Hg
1 1 1
Direct
0.000 0.000 0.000
0.750 0.750 0.750
0.500 0.500 0.500
```

- SG: F-43m (216)
- Total energy: -11.28 eV per cell
- Size of the total moment: 0.005 μB/f.u.

No. 10
A plane-wave DFT calculation with PBE-GGA was carried out for a relaxed Ta4BTe8 crystal.

Geometry as POSCAR:
```
Ta4BTe8
1.0
11.696 0.000 0.000
0.000 16.932 0.000
0.000 0.000 3.605
Ta B Te
8 2 16
Direct
0.073 0.071 0.000
0.155 0.924 0.500
0.345 0.424 0.500
0.427 0.571 0.000
0.573 0.429 0.000
0.655 0.576 0.500
0.845 0.076 0.500
0.927 0.929 0.000
0.000 0.000 0.500
0.500 0.500 0.500
0.085 0.807 0.000
0.131 0.329 0.500
0.203 0.505 0.000
0.204 0.170 0.500
0.296 0.670 0.500
0.297 0.005 0.000
0.369 0.829 0.500
0.415 0.307 0.000
0.585 0.693 0.000
0.631 0.171 0.500
0.703 0.995 0.000
0.704 0.330 0.500
0.796 0.830 0.500
0.797 0.495 0.000
0.869 0.671 0.500
0.915 0.193 0.000
```

- SG: Pbam (55)
- Total energy: -169.35 eV per cell
- Size of the total moment: 0.000 μB/f.u.

No. 11
A plane-wave DFT calculation with PBE-GGA was carried out for a relaxed DyHoPb crystal.

Geometry as POSCAR:
```
DyHoPb
1.0
0.000 3.643 3.643
3.643 0.000 3.643
3.643 3.643 0.000
Dy Ho Pb
1 1 1
Direct
0.000 0.000 0.000
0.500 0.500 0.500
0.250 0.250 0.250
```

- ΔE to the lowest computed polymorph: 0.00 kJ per mole of atoms
- SG: F-43m (216)
- Size of the total moment: 0.015 μB/f.u.

No. 12
A plane-wave DFT calculation with PBE-GGA was carried out for a relaxed Pm4SiTe3 crystal.

Geometry as POSCAR:
```
Pm4SiTe3
1.0
4.472 -6.265 0.000
4.472 6.265 0.000
0.000 0.000 4.379
Pm Si Te
4 1 3
Direct
0.225 0.225 0.500
0.234 0.766 0.000
0.766 0.234 0.000
0.775 0.775 0.500
0.000 0.000 0.000
0.000 0.500 0.500
0.500 0.000 0.500
0.500 0.500 0.000
```

- SG: Cmmm (65)
- Total energy: -44.38 eV per cell
- Size of the total moment: 0.012 μB/f.u.